No. 1
TcNO2F: optimized geometry, GGA-PBE.

Lattice parameters (Å, degrees): 3.7580 3.7580 3.9691 90.00 90.00 90.00
Site moments in Bohr magnetons follow the coordinates.
Atoms (fractional coordinates):
N (0.0000, 0.0000, 0.5000)  0.73
Tc (0.0000, 0.0000, 0.0000)  -0.33
O (0.0000, 0.5000, 0.0000)  0.13
O (0.5000, 0.0000, 0.0000)  0.13
F (0.5000, 0.5000, 0.5000)  0.27

Results
Spin magnetization   1.2 μB per cell
Mass density   4.8 Mg/m³
Electronic total energy   -31.8 eV/cell
ΔE_f (raw)   -259 meV per atom

---

No. 2
Zr2AlCl: optimized geometry, GGA-PBE.

Lattice parameters (Å, degrees): 4.8354 4.8354 4.8354 60.00 60.00 60.00
Atoms (fractional coordinates):
Al (0.0000, 0.0000, 0.0000)
Zr (0.2500, 0.2500, 0.2500)
Zr (0.7500, 0.7500, 0.7500)
Cl (0.5000, 0.5000, 0.5000)

Results
Spin magnetization   0.0 μB per cell
Mass density   5.1 Mg/m³
Electronic total energy   -23.4 eV/cell
ΔE_f (raw)   -176 meV per atom